[1]
Computed, not measured: a relaxed structure of Tm4Tl2AsSe at the PBE level of DFT. Values from VASP.

Output
theoretical density: 9.9 Mg/m³
density of states at the Fermi level: 0.43 states/eV per atom
electronic total energy: -38.288 eV/f.u.
space group: P2/m
magnetic moment: 0.0000 μB per atom

```
&SYSTEM
  ibrav = 0, nat = 8, ntyp = 4
/
ATOMIC_SPECIES
Tl 204.38 Tl.upf
Tm 168.93 Tm.upf
Se 78.96 Se.upf
As 74.92 As.upf
ATOMIC_POSITIONS crystal
Tl 0.000 0.500 0.500
Tl 0.500 0.000 0.500
Tm 0.000 0.256 0.782
Tm 0.000 0.744 0.218
Tm 0.500 0.766 0.786
Tm 0.500 0.234 0.214
Se 0.500 0.500 0.000
As 0.000 0.000 0.000
CELL_PARAMETERS angstrom
3.907 0.000 0.000
0.000 6.795 0.125
0.000 -2.396 7.808
```


[2]
Computed, not measured: a relaxed structure of Li2ScAsH at the PBE level of DFT. Values from VASP.

Output
theoretical density: 3.3 Mg/m³
density of states at the Fermi level: 0.53 states/eV per atom
electronic total energy: -21.609 eV/f.u.
space group: P4/mmm
magnetic moment: 0.0000 μB per atom

```
&SYSTEM
  ibrav = 0, nat = 5, ntyp = 4
/
ATOMIC_SPECIES
Sc 44.96 Sc.upf
As 74.92 As.upf
Li 6.94 Li.upf
H 1.01 H.upf
ATOMIC_POSITIONS crystal
Sc 0.000 0.000 0.500
As 0.500 0.500 0.500
Li 0.500 0.000 0.000
Li 0.000 0.500 0.000
H 0.000 0.000 0.000
CELL_PARAMETERS angstrom
-2.639 0.606 -2.866
-2.806 -1.631 2.239
-0.920 3.868 1.665
```


[3]
Computed, not measured: a relaxed structure of SrScTe2 at the PBE level of DFT. Values from VASP.

Output
theoretical density: 5.6 Mg/m³
density of states at the Fermi level: 0.53 states/eV per atom
energy above the most stable polymorph in this dataset: 260 meV/atom
electronic total energy: -18.764 eV/f.u.
space group: P2/m
magnetic moment: 0.1769 μB per atom

```
&SYSTEM
  ibrav = 0, nat = 4, ntyp = 3
/
ATOMIC_SPECIES
Te 127.60 Te.upf
Sc 44.96 Sc.upf
Sr 87.62 Sr.upf
ATOMIC_POSITIONS crystal
Te 0.000 0.525 0.474
Te 0.000 0.975 0.026
Sc 0.500 0.250 0.250
Sr 0.500 0.750 0.750
CELL_PARAMETERS angstrom
3.826 0.000 0.000
0.000 3.810 0.337
0.000 3.097 8.121
```


[4]
Computed, not measured: a relaxed structure of GdMgCd4 at the PBE level of DFT. Values from VASP.

Output
theoretical density: 7.3 Mg/m³
density of states at the Fermi level: 0.98 states/eV per atom
formation energy from the elements: -0.1293 eV/atom
electronic total energy: -20.112 eV/f.u.
space group: F-43m
magnetic moment: 1.2230 μB per atom

```
&SYSTEM
  ibrav = 0, nat = 6, ntyp = 3
/
ATOMIC_SPECIES
Gd 157.25 Gd.upf
Cd 112.41 Cd.upf
Mg 24.30 Mg.upf
ATOMIC_POSITIONS crystal
Gd 0.250 0.250 0.250
Cd 0.625 0.625 0.126
Cd 0.625 0.625 0.625
Cd 0.126 0.625 0.625
Cd 0.625 0.126 0.625
Mg 0.000 0.000 0.000
CELL_PARAMETERS angstrom
-1.563 -4.747 3.088
3.695 -4.542 0.476
2.599 -1.146 5.142
```


[5]
Computed, not measured: a relaxed structure of ZrFePb2 at the PBE level of DFT. Values from VASP.

Output
theoretical density: 10.4 Mg/m³
density of states at the Fermi level: 0.85 states/eV per atom
energy above the most stable polymorph in this dataset: 207 meV/atom
formation energy from the elements: 0.3182 eV/atom
electronic total energy: -23.155 eV/f.u.
space group: C2/m
magnetic moment: 0.7296 μB per atom

```
&SYSTEM
  ibrav = 0, nat = 4, ntyp = 3
/
ATOMIC_SPECIES
Pb 207.20 Pb.upf
Zr 91.22 Zr.upf
Fe 55.84 Fe.upf
ATOMIC_POSITIONS crystal
Pb 0.500 0.000 0.500
Pb 0.000 0.000 0.000
Zr 0.000 0.500 0.500
Fe 0.500 0.500 0.000
CELL_PARAMETERS angstrom
-2.918 2.017 -6.162
3.125 -4.225 0.529
-2.340 -2.121 -1.008
```


[6]
Computed, not measured: a relaxed structure of Ac6AgRh2 at the PBE level of DFT. Values from VASP.

Output
theoretical density: 8.0 Mg/m³
density of states at the Fermi level: 1.04 states/eV per atom
formation energy from the elements: -0.3158 eV/atom
electronic total energy: -45.047 eV/f.u.
space group: C2/m
magnetic moment: 0.0000 μB per atom

```
&SYSTEM
  ibrav = 0, nat = 9, ntyp = 3
/
ATOMIC_SPECIES
Ac 227.00 Ac.upf
Rh 102.91 Rh.upf
Ag 107.87 Ag.upf
ATOMIC_POSITIONS crystal
Ac 0.701 0.700 0.897
Ac 0.299 0.300 0.103
Ac 0.019 0.166 0.795
Ac 0.981 0.834 0.205
Ac 0.652 0.251 0.444
Ac 0.348 0.749 0.556
Rh 0.817 0.266 0.101
Rh 0.183 0.734 0.899
Ag 0.000 0.500 0.500
CELL_PARAMETERS angstrom
-1.778 2.530 4.936
3.136 -3.097 6.154
6.843 5.509 3.078
```